Compound: LiMn2O4
Source: Alexandria
Functional: GGA+U
Structure: optimized geometry

POSCAR file:
```
LiMn2O4
1.0
6.025 -0.004 0.004
2.797 5.080 0.010
3.192 1.539 4.869
Mn O Li
4 8 2
Direct
0.500 0.500 0.000
0.000 0.500 0.500
0.500 0.500 0.500
0.500 0.000 0.500
0.277 0.699 0.277
0.277 0.247 0.277
0.719 0.751 0.278
0.723 0.301 0.723
0.722 0.248 0.280
0.278 0.752 0.720
0.281 0.249 0.722
0.723 0.753 0.723
0.137 0.113 0.137
0.863 0.887 0.863
```

As for the distance to the lowest polymorph of the same formula: 0.000 eV per atom. The energy comes out at -96.65 eV/cell. As for the space group: No. 15. For the calculated volume, the calculation gives 10.6 Å³ per atom.